Entry from Alexandria: an optimized crystal structure of LaCo4Cu3O12 (PBE+U).

Computed properties:
volume: 198 Å³ per cell
final energy: -5.96 eV per atom
space group: No. 204

a = 6.3560 Å, b = 6.3560 Å, c = 6.3560 Å
α = 109.47°, β = 109.47°, γ = 109.47°
Each line ends with the local moment (μB).
Fractional coordinates of all 20 atoms:
La 0.0000 0.0000 0.0000  -0.01
Co 0.5000 0.0000 0.0000  2.02
Co 0.5000 0.5000 0.5000  2.02
Co 0.0000 0.5000 0.0000  2.02
Co 0.0000 0.0000 0.5000  2.02
Cu 0.0000 0.5000 0.5000  0.01
Cu 0.5000 0.5000 0.0000  0.01
Cu 0.5000 0.0000 0.5000  0.01
O 0.3101 0.8263 0.1364  -0.01
O 0.6899 0.1737 0.8636  -0.01
O 0.6899 0.8263 0.5162  -0.01
O 0.8636 0.6899 0.1737  -0.01
O 0.8263 0.1364 0.3101  -0.01
O 0.1737 0.4838 0.3101  -0.01
O 0.4838 0.3101 0.1737  -0.01
O 0.1737 0.8636 0.6899  -0.01
O 0.3101 0.1737 0.4838  -0.01
O 0.1364 0.3101 0.8263  -0.01
O 0.8263 0.5162 0.6899  -0.01
O 0.5162 0.6899 0.8263  -0.01